<1>
! Ca2SbTe | Alexandria | GGA-PBE | relaxed; values from VASP
&SYSTEM
  ibrav = 0, nat = 4, ntyp = 3
/
ATOMIC_SPECIES
Ca 40.08 Ca.upf
Sb 121.76 Sb.upf
Te 127.60 Te.upf
CELL_PARAMETERS angstrom
6.1260 -2.0261 0.0000
6.1260 2.0261 0.0000
-0.4811 0.0000 4.9959
ATOMIC_POSITIONS crystal
Ca 0.0000 0.0000 0.0000
Ca 0.2378 0.2378 0.5227
Sb 0.4989 0.4989 0.5000
Te 0.7395 0.7395 0.0194
! SG	Cm (8)



<2>
! Ca2SbTe | Alexandria | GGA-PBE | relaxed; values from VASP
&SYSTEM
  ibrav = 0, nat = 4, ntyp = 3
/
ATOMIC_SPECIES
Ca 40.08 Ca.upf
Sb 121.76 Sb.upf
Te 127.60 Te.upf
CELL_PARAMETERS angstrom
2.1320 1.2309 8.3101
-2.1320 1.2309 8.3101
0.0000 -2.4618 8.3101
ATOMIC_POSITIONS crystal
Ca 0.0000 0.0000 0.0000
Ca 0.1602 0.1602 0.1602
Sb 0.5812 0.5812 0.5812
Te 0.4124 0.4124 0.4124
! SG	R3m (160)



Relative to the most stable one, in meV/atom, the structures come out at <1> 47; <2> 0.